The following is a DFT calculation (PBE) of a relaxed structure of SrYHgBi2.

- Fermi-level density of states: 0.70 states/eV/atom
- Space group: P4/mmm, No. 123
- Density: 6.42 g cm⁻³
- Calculated total energy: -2.900 eV/atom

Unit cell a=6.044 b=6.044 c=5.627 alpha=90.00 beta=90.00 gamma=90.00
Sites, in units of the cell vectors:
Sr 0.000 0.000 0.000
Y 0.500 0.500 0.500
Hg 0.000 0.000 0.500
Bi 0.000 0.500 0.000
Bi 0.500 0.000 0.000